# PBE-GGA Sb2PbSe, optimized geometry
# formation energy (no corrections) = 194.1 meV per atom
# total magnetization = 0.00 μB per formula unit
data_Sb2PbSe
_space_group_name_H-M_alt 'C m m m'
_space_group_IT_number 65
_space_group_name_Hall '-C 2 2'
_cell_length_a 7.633
_cell_length_b 7.836
_cell_length_c 3.601
_cell_angle_alpha 90.00
_cell_angle_beta 90.00
_cell_angle_gamma 90.00
loop_
_atom_site_label
_atom_site_type_symbol
_atom_site_fract_x
_atom_site_fract_y
_atom_site_fract_z
Sb1 Sb 0.250 0.250 0.000
Pb1 Pb 0.000 0.000 0.500
Se1 Se 0.000 0.500 0.500

---

# PBE-GGA NaNbTc2, optimized geometry
# total magnetization = 0.00 μB per formula unit
# energy relative to the elements = 1.18 eV per atom
data_NaNbTc2
_space_group_name_H-M_alt 'I -4 2 d'
_space_group_IT_number 122
_space_group_name_Hall 'I -4 2bw'
_cell_length_a 4.048
_cell_length_b 4.048
_cell_length_c 18.842
_cell_angle_alpha 90.00
_cell_angle_beta 90.00
_cell_angle_gamma 90.00
loop_
_atom_site_label
_atom_site_type_symbol
_atom_site_fract_x
_atom_site_fract_y
_atom_site_fract_z
Na1 Na 0.000 0.000 0.000
Nb1 Nb 0.000 0.000 0.500
Tc1 Tc 0.163 0.250 0.625

---

# PBE-GGA Cs2PmTe2O6, optimized geometry
# formation energy (no corrections) = -1679.5 meV per atom
# total magnetization = 0.92 μB per formula unit
data_Cs2PmTe2O6
_space_group_name_H-M_alt 'C 1 2/m 1'
_space_group_IT_number 12
_space_group_name_Hall '-C 2y'
_cell_length_a 10.931
_cell_length_b 6.456
_cell_length_c 8.566
_cell_angle_alpha 90.00
_cell_angle_beta 110.89
_cell_angle_gamma 90.00
loop_
_atom_site_label
_atom_site_type_symbol
_atom_site_fract_x
_atom_site_fract_y
_atom_site_fract_z
Cs1 Cs 0.226 0.000 0.203
Pm1 Pm 0.000 0.500 0.000
Te1 Te 0.085 0.000 0.726
O1 O 0.048 0.233 0.841
O2 O 0.228 0.500 0.152

---

# PBE-GGA Tb5Mg2Ge4, optimized geometry
# total magnetization = 0.00 μB per formula unit
# energy relative to the elements = -0.45 eV per atom
data_Tb5Mg2Ge4
_space_group_name_H-M_alt 'C 1 2/m 1'
_space_group_IT_number 12
_space_group_name_Hall '-C 2y'
_cell_length_a 20.253
_cell_length_b 4.157
_cell_length_c 7.198
_cell_angle_alpha 90.00
_cell_angle_beta 110.66
_cell_angle_gamma 90.00
loop_
_atom_site_label
_atom_site_type_symbol
_atom_site_fract_x
_atom_site_fract_y
_atom_site_fract_z
Tb1 Tb 0.000 0.000 0.000
Tb2 Tb 0.164 0.500 0.401
Tb3 Tb 0.164 0.500 0.928
Mg1 Mg 0.073 0.000 0.575
Ge1 Ge 0.000 0.500 0.300
Ge2 Ge 0.211 0.000 0.711

---

# PBE-GGA Pm2Sm5Sc, optimized geometry
# total magnetization = 0.00 μB per formula unit
# energy relative to the elements = 0.12 eV per atom
data_Pm2Sm5Sc
_space_group_name_H-M_alt 'C m c m'
_space_group_IT_number 63
_space_group_name_Hall '-C 2c 2'
_cell_length_a 5.603
_cell_length_b 11.888
_cell_length_c 16.048
_cell_angle_alpha 90.00
_cell_angle_beta 90.00
_cell_angle_gamma 90.00
loop_
_atom_site_label
_atom_site_type_symbol
_atom_site_fract_x
_atom_site_fract_y
_atom_site_fract_z
Pm1 Pm 0.000 0.222 0.135
Sm1 Sm 0.000 0.079 0.593
Sm2 Sm 0.000 0.382 0.552
Sm3 Sm 0.000 0.468 0.250
Sc1 Sc 0.000 0.259 0.750

---

# PBE-GGA SrNi2Te, optimized geometry
# formation energy (no corrections) = 163.8 meV per atom
# total magnetization = 0.00 μB per formula unit
data_SrNi2Te
_space_group_name_H-M_alt 'F m m m'
_space_group_IT_number 69
_space_group_name_Hall '-F 2 2'
_cell_length_a 6.262
_cell_length_b 6.613
_cell_length_c 8.500
_cell_angle_alpha 90.00
_cell_angle_beta 90.00
_cell_angle_gamma 90.00
loop_
_atom_site_label
_atom_site_type_symbol
_atom_site_fract_x
_atom_site_fract_y
_atom_site_fract_z
Sr1 Sr 0.000 0.000 0.000
Ni1 Ni 0.000 0.250 0.250
Te1 Te 0.000 0.000 0.500

---

# PBE-GGA Pr6In3Ru, optimized geometry
# total magnetization = 0.00 μB per formula unit
# energy relative to the elements = -0.30 eV per atom
data_Pr6In3Ru
_space_group_name_H-M_alt 'P 1 21/m 1'
_space_group_IT_number 11
_space_group_name_Hall '-P 2yb'
_cell_length_a 9.515
_cell_length_b 5.480
_cell_length_c 11.804
_cell_angle_alpha 90.00
_cell_angle_beta 107.44
_cell_angle_gamma 90.00
loop_
_atom_site_label
_atom_site_type_symbol
_atom_site_fract_x
_atom_site_fract_y
_atom_site_fract_z
Pr1 Pr 0.040 0.250 0.415
Pr2 Pr 0.189 0.750 0.163
Pr3 Pr 0.285 0.250 0.001
Pr4 Pr 0.350 0.750 0.827
Pr5 Pr 0.375 0.250 0.351
Pr6 Pr 0.401 0.250 0.644
In1 In 0.012 0.750 0.876
In2 In 0.092 0.250 0.719
In3 In 0.269 0.750 0.473
Ru1 Ru 0.463 0.750 0.094

---

# PBE-GGA DyThPd2, optimized geometry
# total magnetization = 0.00 μB per formula unit
# energy relative to the elements = -0.74 eV per atom
data_DyThPd2
_space_group_name_H-M_alt 'R -3 m'
_space_group_IT_number 166
_space_group_name_Hall '-R 3 2"'
_cell_length_a 4.1453
_cell_length_b 4.1453
_cell_length_c 20.3088
_cell_angle_alpha 90.00
_cell_angle_beta 90.00
_cell_angle_gamma 120.00
loop_
_atom_site_label
_atom_site_type_symbol
_atom_site_fract_x
_atom_site_fract_y
_atom_site_fract_z
Dy1 Dy 0.0000 0.0000 0.0000
Th1 Th 0.0000 0.0000 0.5000
Pd1 Pd 0.0000 0.0000 0.2507

---

# PBE-GGA YTl2GaCo, optimized geometry
# total magnetization = 1.09 μB per formula unit
# energy relative to the elements = 0.41 eV per atom
data_YTl2GaCo
_space_group_name_H-M_alt 'P 4/m m m'
_space_group_IT_number 123
_space_group_name_Hall '-P 4 2'
_cell_length_a 5.319
_cell_length_b 5.319
_cell_length_c 4.489
_cell_angle_alpha 90.00
_cell_angle_beta 90.00
_cell_angle_gamma 90.00
loop_
_atom_site_label
_atom_site_type_symbol
_atom_site_fract_x
_atom_site_fract_y
_atom_site_fract_z
Y1 Y 0.000 0.000 0.000
Tl1 Tl 0.000 0.500 0.500
Ga1 Ga 0.500 0.500 0.500
Co1 Co 0.500 0.500 0.000

---

# PBE-GGA Li2TcCl, optimized geometry
# formation energy (no corrections) = 27.5 meV per atom
# total magnetization = 0.46 μB per formula unit
data_Li2TcCl
_space_group_name_H-M_alt 'P 4 m m'
_space_group_IT_number 99
_space_group_name_Hall 'P 4 -2'
_cell_length_a 2.947
_cell_length_b 2.947
_cell_length_c 8.227
_cell_angle_alpha 90.00
_cell_angle_beta 90.00
_cell_angle_gamma 90.00
loop_
_atom_site_label
_atom_site_type_symbol
_atom_site_fract_x
_atom_site_fract_y
_atom_site_fract_z
Li1 Li 0.000 0.000 0.000
Li2 Li 0.500 0.500 0.212
Tc1 Tc 0.000 0.000 0.427
Cl1 Cl 0.500 0.500 0.913

---

# PBE-GGA SrBeW2, optimized geometry
# total magnetization = 0.00 μB per formula unit
# energy relative to the elements = 0.79 eV per atom
data_SrBeW2
_space_group_name_H-M_alt 'C m m 2'
_space_group_IT_number 35
_space_group_name_Hall 'C 2 -2'
_cell_length_a 3.431
_cell_length_b 4.489
_cell_length_c 9.162
_cell_angle_alpha 90.00
_cell_angle_beta 90.00
_cell_angle_gamma 90.00
loop_
_atom_site_label
_atom_site_type_symbol
_atom_site_fract_x
_atom_site_fract_y
_atom_site_fract_z
Sr1 Sr 0.000 0.000 0.000
Be1 Be 0.000 0.500 0.272
W1 W 0.000 0.000 0.458
W2 W 0.000 0.500 0.694

---

# PBE-GGA PrY2Th3, optimized geometry
# total magnetization = 0.00 μB per formula unit
# energy relative to the elements = 0.03 eV per atom
data_PrY2Th3
_space_group_name_H-M_alt 'C 1 2/m 1'
_space_group_IT_number 12
_space_group_name_Hall '-C 2y'
_cell_length_a 15.265
_cell_length_b 5.074
_cell_length_c 11.406
_cell_angle_alpha 90.00
_cell_angle_beta 116.48
_cell_angle_gamma 90.00
loop_
_atom_site_label
_atom_site_type_symbol
_atom_site_fract_x
_atom_site_fract_y
_atom_site_fract_z
Pr1 Pr 0.128 0.000 0.133
Y1 Y 0.040 0.500 0.867
Y2 Y 0.205 0.000 0.867
Th1 Th 0.043 0.000 0.380
Th2 Th 0.123 0.500 0.620
Th3 Th 0.210 0.500 0.380

---

> What is the total magnetization in the tenth record?

0.46 μB per formula unit